A relaxed structure of Sr2CaIn, computed with PBE.

CIF file:
```
data_Sr2CaIn
_cell_length_a 4.156
_cell_length_b 6.144
_cell_length_c 12.735
_cell_angle_alpha 90.00
_cell_angle_beta 90.00
_cell_angle_gamma 90.00
_space_group_name_H-M_alt 'I m m 2'
_space_group_IT_number 44
_space_group_name_Hall 'I 2 -2'
loop_
_atom_site_label
_atom_site_fract_x
_atom_site_fract_y
_atom_site_fract_z
Sr1 0.000 0.000 0.000
Sr2 0.000 0.500 0.205
Ca1 0.000 0.500 0.793
In1 0.000 0.000 0.490
```

Calculated values
Total magnetic moment   0.207 μB per formula unit

A relaxed structure of SrCa5In6, computed with PBE.

CIF file:
```
data_SrCa5In6
_cell_length_a 5.491
_cell_length_b 16.538
_cell_length_c 7.798
_cell_angle_alpha 90.00
_cell_angle_beta 90.00
_cell_angle_gamma 90.00
_space_group_name_H-M_alt 'C m m m'
_space_group_IT_number 65
_space_group_name_Hall '-C 2 2'
loop_
_atom_site_label
_atom_site_fract_x
_atom_site_fract_y
_atom_site_fract_z
Sr1 0.000 0.000 0.000
Ca1 0.000 0.000 0.500
Ca2 0.000 0.333 0.000
Ca3 0.000 0.335 0.500
In1 0.000 0.170 0.259
In2 0.000 0.500 0.264
```

Calculated values
Total magnetic moment   0.000 μB per formula unit

A relaxed structure of Sr3CaIn, computed with PBE.

CIF file:
```
data_Sr3CaIn
_cell_length_a 6.586
_cell_length_b 6.586
_cell_length_c 6.586
_cell_angle_alpha 90.00
_cell_angle_beta 90.00
_cell_angle_gamma 90.00
_space_group_name_H-M_alt 'P m -3 m'
_space_group_IT_number 221
_space_group_name_Hall '-P 4 2 3'
loop_
_atom_site_label
_atom_site_fract_x
_atom_site_fract_y
_atom_site_fract_z
Sr1 0.000 0.000 0.500
Ca1 0.000 0.000 0.000
In1 0.500 0.500 0.500
```

Calculated values
Total magnetic moment   2.371 μB per formula unit

Number 1: calculated density 3.37 g cm⁻³, E_form -0.199 eV per atom. Number 2: calculated density 4.58 g cm⁻³, E_form -0.460 eV per atom. Number 3: calculated density 2.43 g cm⁻³, E_form 0.679 eV per atom.